No. 1
Here is Ti2FeB2Rh5 after structural relaxation from Alexandria via LeMat-Bulk. Energies are from PBE.

Calculated values
- VASP energy: -8.0050 eV per atom
- DFT formation energy: -0.569 eV/atom
- Symmetry: P4/mbm, No. 127

abc: 9.1008 9.1008 3.0855
angles: 90.00 90.00 90.00
Positions (direct):
Ti (0.1754, 0.6754, 0.0000)
Ti (0.8246, 0.3246, 0.0000)
Ti (0.3246, 0.1754, 0.0000)
Ti (0.6754, 0.8246, 0.0000)
Fe (0.5000, 0.5000, 0.0000)
Fe (0.0000, 0.0000, 0.0000)
B (0.6257, 0.1257, 0.0000)
B (0.3743, 0.8743, 0.0000)
B (0.8743, 0.6257, 0.0000)
B (0.1257, 0.3743, 0.0000)
Rh (0.7139, 0.5727, 0.5000)
Rh (0.2861, 0.4273, 0.5000)
Rh (0.7861, 0.0727, 0.5000)
Rh (0.2139, 0.9273, 0.5000)
Rh (0.5727, 0.2861, 0.5000)
Rh (0.4273, 0.7139, 0.5000)
Rh (0.0727, 0.2139, 0.5000)
Rh (0.9273, 0.7861, 0.5000)
Rh (0.0000, 0.5000, 0.5000)
Rh (0.5000, 0.0000, 0.5000)

No. 2
Here is NaLiC3 after structural relaxation from Alexandria via LeMat-Bulk. Energies are from PBE.

Calculated values
- VASP energy: -2.7340 eV per atom
- DFT formation energy: 3.447 eV/atom
- Symmetry: Pm-3m, No. 221
- Excess energy over the best structure of this formula in the dataset: 758.6 meV per atom

abc: 4.3814 4.3814 4.3814
angles: 90.00 90.00 90.00
Positions (direct):
Na (0.0000, 0.0000, 0.0000)
C (0.0000, 0.5000, 0.0000)
C (0.0000, 0.0000, 0.5000)
C (0.5000, 0.0000, 0.0000)
Li (0.5000, 0.5000, 0.5000)